1.
# RbRe3Au | the Alexandria database | PBE | optimized geometry
data_RbRe3Au
_chemical_formula_sum 'Rb1 Re3 Au1'
_cell_length_a 4.662
_cell_length_b 4.662
_cell_length_c 4.662
_cell_angle_alpha 90.00
_cell_angle_beta 90.00
_cell_angle_gamma 90.00
_symmetry_space_group_name_H-M 'P m -3 m'
_symmetry_Int_Tables_number 221
_symmetry_space_group_name_Hall '-P 4 2 3'
loop_
_atom_site_label
_atom_site_type_symbol
_atom_site_fract_x
_atom_site_fract_y
_atom_site_fract_z
Rb1 Rb 0.000 0.000 0.000
Re1 Re 0.000 0.000 0.500
Au1 Au 0.500 0.500 0.500
# Energy of formation from the pure elements, meV per atom: 4095
# N(E_F), states/eV per cell: 8.0
# ΔE to the lowest computed polymorph, eV/f.u.: 6.00



2.
# RbSrRe2Au | the Alexandria database | PBE | optimized geometry
data_RbSrRe2Au
_chemical_formula_sum 'Rb1 Sr1 Re2 Au1'
_cell_length_a 5.009
_cell_length_b 5.009
_cell_length_c 5.808
_cell_angle_alpha 90.00
_cell_angle_beta 90.00
_cell_angle_gamma 90.00
_symmetry_space_group_name_H-M 'P 4/m m m'
_symmetry_Int_Tables_number 123
_symmetry_space_group_name_Hall '-P 4 2'
loop_
_atom_site_label
_atom_site_type_symbol
_atom_site_fract_x
_atom_site_fract_y
_atom_site_fract_z
Rb1 Rb 0.000 0.000 0.000
Sr1 Sr 0.500 0.500 0.000
Re1 Re 0.000 0.500 0.500
Au1 Au 0.000 0.000 0.500
# Energy of formation from the pure elements, meV per atom: 1825
# N(E_F), states/eV per cell: 4.3



3.
# Rb2RhAu2 | the Alexandria database | PBE | optimized geometry
data_Rb2RhAu2
_chemical_formula_sum 'Rb4 Rh2 Au4'
_cell_length_a 7.002
_cell_length_b 7.002
_cell_length_c 5.607
_cell_angle_alpha 90.00
_cell_angle_beta 90.00
_cell_angle_gamma 90.00
_symmetry_space_group_name_H-M 'P 4/m b m'
_symmetry_Int_Tables_number 127
_symmetry_space_group_name_Hall '-P 4 2ab'
loop_
_atom_site_label
_atom_site_type_symbol
_atom_site_fract_x
_atom_site_fract_y
_atom_site_fract_z
Rb1 Rb 0.178 0.322 0.000
Rh1 Rh 0.000 0.000 0.500
Au1 Au 0.141 0.641 0.500
# Energy of formation from the pure elements, meV per atom: 145
# N(E_F), states/eV per cell: 7.1



4.
# RbRh3Au | the Alexandria database | PBE | optimized geometry
data_RbRh3Au
_chemical_formula_sum 'Rb1 Rh3 Au1'
_cell_length_a 4.801
_cell_length_b 4.801
_cell_length_c 4.801
_cell_angle_alpha 90.00
_cell_angle_beta 90.00
_cell_angle_gamma 90.00
_symmetry_space_group_name_H-M 'P m -3 m'
_symmetry_Int_Tables_number 221
_symmetry_space_group_name_Hall '-P 4 2 3'
loop_
_atom_site_label
_atom_site_type_symbol
_atom_site_fract_x
_atom_site_fract_y
_atom_site_fract_z
Rb1 Rb 0.000 0.000 0.000
Rh1 Rh 0.000 0.000 0.500
Au1 Au 0.500 0.500 0.500
# Energy of formation from the pure elements, meV per atom: 2286
# N(E_F), states/eV per cell: 6.0
# ΔE to the lowest computed polymorph, eV/f.u.: 5.02



5.
# RbRh3Au | the Alexandria database | PBE | optimized geometry
data_RbRh3Au
_chemical_formula_sum 'Rb1 Rh3 Au1'
_cell_length_a 5.040
_cell_length_b 5.040
_cell_length_c 5.040
_cell_angle_alpha 90.00
_cell_angle_beta 90.00
_cell_angle_gamma 90.00
_symmetry_space_group_name_H-M 'P m -3 m'
_symmetry_Int_Tables_number 221
_symmetry_space_group_name_Hall '-P 4 2 3'
loop_
_atom_site_label
_atom_site_type_symbol
_atom_site_fract_x
_atom_site_fract_y
_atom_site_fract_z
Rb1 Rb 0.000 0.000 0.000
Rh1 Rh 0.000 0.500 0.500
Au1 Au 0.500 0.500 0.500
# Energy of formation from the pure elements, meV per atom: 1282
# N(E_F), states/eV per cell: 18.4
# ΔE to the lowest computed polymorph, eV/f.u.: 0.00



6.
# RbSbRhAu | the Alexandria database | PBE | optimized geometry
data_RbSbRhAu
_chemical_formula_sum 'Rb2 Sb2 Rh2 Au2'
_cell_length_a 4.099
_cell_length_b 4.099
_cell_length_c 13.540
_cell_angle_alpha 90.00
_cell_angle_beta 90.00
_cell_angle_gamma 90.00
_symmetry_space_group_name_H-M 'P 4/n m m'
_symmetry_Int_Tables_number 129
loop_
_symmetry_equiv_pos_as_xyz
'x,y,z'
'-x,-y,-z'
'-y+1/2,x,z'
'y+1/2,-x,-z'
'-x+1/2,-y+1/2,z'
'x+1/2,y+1/2,-z'
'y,-x+1/2,z'
'-y,x+1/2,-z'
'x+1/2,-y,-z'
'-x+1/2,y,z'
'-y,-x,-z'
'y,x,z'
'-x,y+1/2,-z'
'x,-y+1/2,z'
'y+1/2,x+1/2,-z'
'-y+1/2,-x+1/2,z'
loop_
_atom_site_label
_atom_site_type_symbol
_atom_site_fract_x
_atom_site_fract_y
_atom_site_fract_z
Rb1 Rb 0.250 0.250 0.210
Sb1 Sb 0.250 0.250 0.617
Rh1 Rh 0.250 0.750 0.500
Au1 Au 0.250 0.750 0.000
# Total energy, eV for the cell shown: -34.3
# N(E_F), states/eV per cell: 2.8



> Which of these has the lowest N(E_F)?

RbSbRhAu



> What is the formula in the third record?

Rb2RhAu2



Please write out number 2 again, unchanged.
# RbSrRe2Au | the Alexandria database | PBE | optimized geometry
data_RbSrRe2Au
_chemical_formula_sum 'Rb1 Sr1 Re2 Au1'
_cell_length_a 5.009
_cell_length_b 5.009
_cell_length_c 5.808
_cell_angle_alpha 90.00
_cell_angle_beta 90.00
_cell_angle_gamma 90.00
_symmetry_space_group_name_H-M 'P 4/m m m'
_symmetry_Int_Tables_number 123
_symmetry_space_group_name_Hall '-P 4 2'
loop_
_atom_site_label
_atom_site_type_symbol
_atom_site_fract_x
_atom_site_fract_y
_atom_site_fract_z
Rb1 Rb 0.000 0.000 0.000
Sr1 Sr 0.500 0.500 0.000
Re1 Re 0.000 0.500 0.500
Au1 Au 0.000 0.000 0.500
# Energy of formation from the pure elements, meV per atom: 1825
# N(E_F), states/eV per cell: 4.3



> Among the records above, which one has the highest N(E_F)?

number 5